The following is a DFT calculation (PBE) of crystalline SrSmInAu at its relaxed geometry.

a = 5.4395 Å, b = 5.4395 Å, c = 5.4395 Å
α = 60.00°, β = 60.00°, γ = 60.00°
Fractional positions:
Sr1 0.7500 0.7500 0.7500
Au1 0.5000 0.5000 0.5000
Sm1 0.2500 0.2500 0.2500
In1 0.0000 0.0000 0.0000

Properties
Raw total energy: -3.6304 eV/atom
Formation enthalpy at 0 K: -0.53 eV/atom
Volume: 113.80 Å³/cell
DOS(E_F): 4.829 states/eV/cell
Total moment: 0.000 μB/f.u.
SG: No. 216
Crystal system: cubic



The following is a DFT calculation (PBE) of crystalline MnSnRuS at its relaxed geometry.

a = 3.3801 Å, b = 3.0785 Å, c = 6.3681 Å
α = 90.00°, β = 90.00°, γ = 90.00°
Last column: magnetic moment on the atom in μB.
Fractional positions:
Ru1 0.5000 0.0000 0.2816  -0.12
S1 0.5000 0.5000 0.5632  -0.04
Mn1 0.0000 0.0000 0.6580  2.96
Sn1 0.0000 0.5000 0.0363  -0.07

Properties
Raw total energy: -6.7785 eV/atom
Volume: 66.26 Å³/cell
DOS(E_F): 1.685 states/eV/cell
Formation energy from raw total energies: -135 meV per atom
Total moment: 2.781 μB/f.u.
SG: No. 25
Crystal system: orthorhombic



The following is a DFT calculation (PBE) of crystalline ThAgHgRh at its relaxed geometry.

a = 4.9546 Å, b = 4.9546 Å, c = 4.9546 Å
α = 60.00°, β = 60.00°, γ = 60.00°
Fractional positions:
Ag1 0.5000 0.5000 0.5000
Rh1 0.0000 0.0000 0.0000
Hg1 0.7500 0.7500 0.7500
Th1 0.2500 0.2500 0.2500

Properties
Raw total energy: -4.7509 eV/atom
Formation enthalpy at 0 K: -0.27 eV/atom
Volume: 86.00 Å³/cell
DOS(E_F): 3.784 states/eV/cell
Total moment: 0.000 μB/f.u.
SG: No. 216
Crystal system: cubic



The following is a DFT calculation (PBE) of crystalline CoCu3Cl at its relaxed geometry.

a = 4.4993 Å, b = 4.4993 Å, c = 4.4993 Å
α = 90.00°, β = 90.00°, γ = 90.00°
Last column: magnetic moment on the atom in μB.
Fractional positions:
Co1 0.0000 0.0000 0.0000  1.53
Cu1 0.0000 0.5000 0.0000  0.10
Cu2 0.0000 0.0000 0.5000  0.19
Cu3 0.5000 0.0000 0.0000  0.04
Cl1 0.5000 0.5000 0.5000  -0.02

Properties
Raw total energy: -3.3022 eV/atom
Volume: 91.08 Å³/cell
DOS(E_F): 5.353 states/eV/cell
Formation energy from raw total energies: 946 meV per atom
Total moment: 1.715 μB/f.u.
SG: No. 221
Crystal system: cubic